# BaMg2Ni2 (PBE-GGA, optimized geometry)
data_BaMg2Ni2
_chemical_formula_sum 'Ba2 Mg4 Ni4'
_cell_length_a 4.3709
_cell_length_b 4.3709
_cell_length_c 11.4348
_cell_angle_alpha 90.00
_cell_angle_beta 90.00
_cell_angle_gamma 90.00
_space_group_name_H-M_alt 'I 4/m m m'
_space_group_IT_number 139
_space_group_name_Hall '-I 4 2'
loop_
_atom_site_label
_atom_site_type_symbol
_atom_site_fract_x
_atom_site_fract_y
_atom_site_fract_z
_atom_site_occupancy
Ba1 Ba 0.0000 0.0000 0.0000 1
Mg1 Mg 0.0000 0.5000 0.2500 1
Ni1 Ni 0.0000 0.0000 0.3944 1
# energy of formation from the pure elements = -0.2 eV per formula unit
# density = 4.611 g/cm3
# spin magnetization = 0.00 μB per formula unit
# ΔE to the lowest computed polymorph = 0.0000 eV per atom